First-principles (SCAN) data for AlTlSiO4 at its PBEsol-relaxed geometry, as listed in Alexandria via LeMat-Bulk.

Values from the calculation:
Energy   -19.173 eV per atom
M_tot   0.00 μB per formula unit
Raw formation energy   -2.74 eV per atom

POSCAR file:
```
AlTlSiO4
1.0
8.192 0.000 0.000
0.000 5.419 0.000
0.000 0.000 9.521
Al Tl Si O
4 4 4 16
Cartesian
1.557 1.355 0.882 Al
2.540 4.064 5.642 Al
5.653 1.355 3.878 Al
6.636 4.064 8.639 Al
0.133 4.064 3.043 Tl
3.963 1.355 7.803 Tl
4.229 4.064 1.718 Tl
8.059 1.355 6.478 Tl
1.737 4.064 8.876 Si
2.359 1.355 4.115 Si
5.833 4.064 5.406 Si
6.455 1.355 0.645 Si
0.137 4.064 8.935 O
1.742 0.038 4.894 O
1.742 2.672 4.894 O
1.804 1.355 2.597 O
2.292 4.064 7.357 O
2.354 2.747 0.134 O
2.354 5.382 0.134 O
3.959 1.355 4.175 O
4.233 4.064 5.346 O
5.838 0.038 9.387 O
5.838 2.672 9.387 O
5.900 1.355 2.164 O
6.389 4.064 6.924 O
6.450 2.747 4.627 O
6.450 5.382 4.627 O
8.055 1.355 0.586 O
```